(1)
Crystalline MgSe at its relaxed geometry, computed with GGA-PBE.

Computed properties:
The calculation puts the total energy at -3.68 eV per atom. The formation energy (no corrections) comes out at -2.29 eV/f.u.

Cell lengths 7.3125, 7.3761, 9.0696 Å; angles 90.00, 90.00, 90.00 degrees
With the nearest neighbours (Å) after each atom.
Space group P2_12_12_1 (No. 19)
Unique sites:
Mg 0.1340 0.0800 0.2336 x4  4 Se 2.55-2.64
Mg 0.1524 0.6063 0.9769 x4  4 Se 2.58-2.62
Se 0.1867 0.4327 0.2256 x4  4 Mg 2.58-2.63
Se 0.2040 0.0768 0.5194 x4  4 Mg 2.55-2.64

(2)
Crystalline CaTbCeNd at its relaxed geometry, computed with GGA-PBE.

Computed properties:
The calculation puts the total energy at -4.09 eV per atom.

Cell lengths 8.2294, 8.2294, 8.2294 Å; angles 90.00, 90.00, 90.00 degrees
With the nearest neighbours (Å) after each atom.
Space group F-43m (No. 216)
Unique sites:
Ca 0.0000 0.0000 0.0000 x4  4 Tb 3.56, 4 Nd 3.56
Tb 0.2500 0.2500 0.7500 x4  4 Ce 3.56, 4 Ca 3.56
Ce 0.0000 0.0000 0.5000 x4  4 Tb 3.56, 4 Nd 3.56
Nd 0.2500 0.2500 0.2500 x4  4 Ce 3.56, 4 Ca 3.56

(3)
Crystalline Tb3Pm4Tm8 at its relaxed geometry, computed with GGA-PBE.

Computed properties:
The calculation puts the total energy at -4.45 eV per atom.

Cell lengths 6.9137, 6.9137, 35.1526 Å; angles 90.00, 90.00, 120.00 degrees
With the nearest neighbours (Å) after each atom.
Space group R-3m (No. 166, hexagonal axes)
Unique sites:
Tb 0.0000 0.5000 0.0000 x9  6 Tm 3.40-3.52, 4 Tb 3.46, 2 Pm 3.46
Pm 0.0000 0.0000 0.0000 x3  6 Tb 3.46, 6 Tm 3.53
Pm 0.0000 0.0000 0.1634 x6  4 Tm 3.22-3.48
Pm 0.0000 0.0000 0.5000 x3  6 Tm 3.56
Tm 0.0000 0.0000 0.2551 x6  1 Pm 3.22, 3 Tb 3.40, 6 Tm 3.46
Tm 0.0016 0.5008 0.2508 x18  6 Tm 3.44-3.47, 3 Pm 3.48-3.56, 2 Tb 3.52

(4)
Crystalline CsMn2BeNi at its relaxed geometry, computed with GGA-PBE.

Computed properties:
The calculation puts the total energy at -4.86 eV per atom. The calculation puts the energy above the most stable polymorph in this dataset at 0 meV/atom.

Cell lengths 4.9180, 4.9180, 4.4535 Å; angles 90.00, 90.00, 90.00 degrees
With the nearest neighbours (Å) after each atom.
Space group P4/mmm (No. 123)
Unique sites:
Cs 0.0000 0.0000 0.0000 x1  8 Mn 3.32, 4 Be 3.48
Mn 0.0000 0.5000 0.5000 x2  2 Ni 2.46
Be 0.5000 0.5000 0.0000 x1  2 Ni 2.23
Ni 0.5000 0.5000 0.5000 x1  2 Be 2.23, 4 Mn 2.46

(5)
Crystalline CaZnP2 at its relaxed geometry, computed with GGA-PBE.

Computed properties:
The calculation puts the total energy at -3.44 eV per atom.

Cell lengths 6.7102, 6.7102, 6.7102 Å; angles 90.00, 90.00, 90.00 degrees
With the nearest neighbours (Å) after each atom.
Space group F-43m (No. 216)
Unique sites:
Ca 0.0000 0.0000 0.0000 x4  4 P 2.91, 4 Zn 2.91
Zn 0.2500 0.2500 0.2500 x4  4 Ca 2.91, 4 P 2.91
P 0.0000 0.0000 0.5000 x4  4 Zn 2.91, 4 P 2.91
P 0.2500 0.2500 0.7500 x4  4 Ca 2.91, 4 P 2.91

(6)
Crystalline CdCuSn2 at its relaxed geometry, computed with GGA-PBE.

Computed properties:
The calculation puts the total energy at -3.15 eV per atom.

Cell lengths 3.2979, 3.2979, 8.2635 Å; angles 90.00, 90.00, 90.00 degrees
With the nearest neighbours (Å) after each atom.
Space group P4/mmm (No. 123)
Unique sites:
Cd 0.0000 0.0000 0.0000 x1  4 Cd 3.30, 8 Sn 3.37
Cu 0.0000 0.0000 0.5000 x1  8 Sn 2.88
Sn 0.5000 0.5000 0.2945 x2  4 Cu 2.88

(7)
Crystalline Sn3BiF at its relaxed geometry, computed with GGA-PBE.

Computed properties:
The calculation puts the total energy at -3.08 eV per atom. The calculation puts the energy above the most stable polymorph in this dataset at 837 meV/atom. The formation energy (no corrections) comes out at 2.34 eV/f.u.

Cell lengths 5.9928, 5.9928, 5.9928 Å; angles 90.00, 90.00, 90.00 degrees
With the nearest neighbours (Å) after each atom.
Space group Pm-3m (No. 221)
Unique sites:
Sn 0.0000 0.0000 0.5000 x3  2 Bi 3.00
Bi 0.0000 0.0000 0.0000 x1  6 Sn 3.00
F 0.5000 0.5000 0.5000 x1  12 Sn 4.24

(8)
Crystalline La8Os3RhBr4 at its relaxed geometry, computed with GGA-PBE.

Computed properties:
The calculation puts the total energy at -6.37 eV per atom. The formation energy (no corrections) comes out at -14.74 eV/f.u.

Cell lengths 8.4013, 8.4013, 23.6089 Å; angles 90.00, 90.00, 120.00 degrees
With the nearest neighbours (Å) after each atom.
Space group R-3m (No. 166, hexagonal axes)
Unique sites:
La 0.0000 0.0000 0.2324 x6  3 Os 2.88
La 0.0061 0.5030 0.7684 x18  2 Os 2.85, 1 Rh 2.91
Os 0.0000 0.5000 0.5000 x9  6 La 2.85-2.88
Rh 0.0000 0.0000 0.5000 x3  6 La 2.91
Br 0.0000 0.0000 0.0000 x3  6 La 3.38
Br 0.0000 0.5000 0.0000 x9  6 La 3.40-3.43